Run a
This record from the Alexandria database describes a relaxed La4SmIn2 crystal. The functional is PBE.

The value obtained for the volume is 33.79 A^3/atom.

```
data_La4SmIn2
_cell_length_a 6.568
_cell_length_b 12.497
_cell_length_c 5.764
_cell_angle_alpha 90.00
_cell_angle_beta 90.00
_cell_angle_gamma 90.00
_space_group_name_H-M_alt 'P 1 21/c 1'
_space_group_IT_number 14
_space_group_name_Hall '-P 2ybc'
loop_
_atom_site_label
_atom_site_fract_x
_atom_site_fract_y
_atom_site_fract_z
_atom_site_occupancy
La1 0.017 0.147 0.002 1
La2 0.363 0.671 0.999 1
Sm1 0.500 0.000 0.000 1
In1 0.183 0.071 0.502 1
```

***

Run b
This record from the Alexandria database describes a relaxed La4SmIn2 crystal. The functional is PBE.

The value obtained for the volume is 34.41 A^3/atom.

```
data_La4SmIn2
_cell_length_a 6.076
_cell_length_b 6.076
_cell_length_c 13.048
_cell_angle_alpha 90.00
_cell_angle_beta 90.00
_cell_angle_gamma 90.00
_space_group_name_H-M_alt 'I 4/m m m'
_space_group_IT_number 139
_space_group_name_Hall '-I 4 2'
loop_
_atom_site_label
_atom_site_fract_x
_atom_site_fract_y
_atom_site_fract_z
_atom_site_occupancy
La1 0.000 0.500 0.000 1
La2 0.000 0.500 0.250 1
Sm1 0.000 0.000 0.000 1
In1 0.000 0.000 0.378 1
```

***

Stability summary: most stable run a, least stable run b.

***

Run a
This record from the Alexandria database describes a relaxed La3Sm2In3 crystal. The functional is PBE.

The value obtained for the volume is 30.57 A^3/atom.

```
data_La3Sm2In3
_cell_length_a 9.0081
_cell_length_b 9.0081
_cell_length_c 3.4796
_cell_angle_alpha 90.00
_cell_angle_beta 90.00
_cell_angle_gamma 120.00
_space_group_name_H-M_alt 'P -6 2 m'
_space_group_IT_number 189
_space_group_name_Hall 'P -6 -2'
loop_
_atom_site_label
_atom_site_fract_x
_atom_site_fract_y
_atom_site_fract_z
_atom_site_occupancy
La1 0.0000 0.7514 0.0000 1
Sm1 0.3333 0.6667 0.0000 1
In1 0.0000 0.3861 0.5000 1
```

***

Run b
This record from the Alexandria database describes a relaxed La3Sm2In3 crystal. The functional is PBE.

The value obtained for the volume is 31.84 A^3/atom.

```
data_La3Sm2In3
_cell_length_a 3.943
_cell_length_b 5.582
_cell_length_c 23.149
_cell_angle_alpha 90.00
_cell_angle_beta 90.00
_cell_angle_gamma 90.00
_space_group_name_H-M_alt 'I m m m'
_space_group_IT_number 71
_space_group_name_Hall '-I 2 2'
loop_
_atom_site_label
_atom_site_fract_x
_atom_site_fract_y
_atom_site_fract_z
_atom_site_occupancy
La1 0.000 0.000 0.000 1
La2 0.000 0.500 0.122 1
Sm1 0.000 0.000 0.234 1
In1 0.000 0.000 0.500 1
In2 0.000 0.500 0.378 1
```

***

Stability summary: most stable run b, least stable run a.

***

Run a
This record from the Alexandria database describes a relaxed LaSm4In crystal. The functional is PBE.

The value obtained for the volume is 32.68 A^3/atom.

```
data_LaSm4In
_cell_length_a 3.672
_cell_length_b 3.672
_cell_length_c 14.540
_cell_angle_alpha 90.00
_cell_angle_beta 90.00
_cell_angle_gamma 90.00
_space_group_name_H-M_alt 'P 4/m m m'
_space_group_IT_number 123
_space_group_name_Hall '-P 4 2'
loop_
_atom_site_label
_atom_site_fract_x
_atom_site_fract_y
_atom_site_fract_z
_atom_site_occupancy
La1 0.000 0.000 0.000 1
Sm1 0.000 0.000 0.356 1
Sm2 0.500 0.500 0.181 1
In1 0.500 0.500 0.500 1
```

***

Run b
This record from the Alexandria database describes a relaxed LaSm4In crystal. The functional is PBE.

The value obtained for the volume is 32.42 A^3/atom.

```
data_LaSm4In
_cell_length_a 5.671
_cell_length_b 17.416
_cell_length_c 7.878
_cell_angle_alpha 90.00
_cell_angle_beta 90.00
_cell_angle_gamma 90.00
_space_group_name_H-M_alt 'C m c 21'
_space_group_IT_number 36
_space_group_name_Hall 'C 2c -2'
loop_
_atom_site_label
_atom_site_fract_x
_atom_site_fract_y
_atom_site_fract_z
_atom_site_occupancy
La1 0.000 0.183 0.000 1
Sm1 0.000 0.007 0.272 1
Sm2 0.000 0.171 0.511 1
Sm3 0.000 0.351 0.714 1
Sm4 0.000 0.483 0.012 1
In1 0.000 0.341 0.275 1
```

***

Stability summary: most stable run a, least stable run b.

***

Run a
This record from the Alexandria database describes a relaxed LaTbSmIn crystal. The functional is PBE.

The value obtained for the volume is 30.92 A^3/atom.

```
data_LaTbSmIn
_cell_length_a 7.909
_cell_length_b 7.909
_cell_length_c 7.909
_cell_angle_alpha 90.00
_cell_angle_beta 90.00
_cell_angle_gamma 90.00
_space_group_name_H-M_alt 'F -4 3 m'
_space_group_IT_number 216
_space_group_name_Hall 'F -4 2 3'
loop_
_atom_site_label
_atom_site_fract_x
_atom_site_fract_y
_atom_site_fract_z
_atom_site_occupancy
La1 0.000 0.000 0.000 1
Tb1 0.250 0.250 0.750 1
Sm1 0.000 0.000 0.500 1
In1 0.250 0.250 0.250 1
```

***

Run b
This record from the Alexandria database describes a relaxed LaTbSmIn crystal. The functional is PBE.

The value obtained for the volume is 30.02 A^3/atom.

```
data_LaTbSmIn
_cell_length_a 7.832
_cell_length_b 7.832
_cell_length_c 7.832
_cell_angle_alpha 90.00
_cell_angle_beta 90.00
_cell_angle_gamma 90.00
_space_group_name_H-M_alt 'F -4 3 m'
_space_group_IT_number 216
_space_group_name_Hall 'F -4 2 3'
loop_
_atom_site_label
_atom_site_fract_x
_atom_site_fract_y
_atom_site_fract_z
_atom_site_occupancy
La1 0.000 0.000 0.000 1
Tb1 0.250 0.250 0.250 1
Sm1 0.250 0.250 0.750 1
In1 0.000 0.000 0.500 1
```

***

Stability summary: most stable run a, least stable run b.

***

Run a
This record from the Alexandria database describes a relaxed LaSmYIn crystal. The functional is PBE.

The value obtained for the volume is 30.05 A^3/atom.

```
data_LaSmYIn
_cell_length_a 7.834
_cell_length_b 7.834
_cell_length_c 7.834
_cell_angle_alpha 90.00
_cell_angle_beta 90.00
_cell_angle_gamma 90.00
_space_group_name_H-M_alt 'F -4 3 m'
_space_group_IT_number 216
_space_group_name_Hall 'F -4 2 3'
loop_
_atom_site_label
_atom_site_fract_x
_atom_site_fract_y
_atom_site_fract_z
_atom_site_occupancy
La1 0.000 0.000 0.000 1
Sm1 0.250 0.250 0.250 1
Y1 0.250 0.250 0.750 1
In1 0.000 0.000 0.500 1
```

***

Run b
This record from the Alexandria database describes a relaxed LaSmYIn crystal. The functional is PBE.

The value obtained for the volume is 31.03 A^3/atom.

```
data_LaSmYIn
_cell_length_a 7.918
_cell_length_b 7.918
_cell_length_c 7.918
_cell_angle_alpha 90.00
_cell_angle_beta 90.00
_cell_angle_gamma 90.00
_space_group_name_H-M_alt 'F -4 3 m'
_space_group_IT_number 216
_space_group_name_Hall 'F -4 2 3'
loop_
_atom_site_label
_atom_site_fract_x
_atom_site_fract_y
_atom_site_fract_z
_atom_site_occupancy
La1 0.000 0.000 0.000 1
Sm1 0.000 0.000 0.500 1
Y1 0.250 0.250 0.750 1
In1 0.250 0.250 0.250 1
```

***

Stability summary: most stable run b, least stable run a.

***

Run a
This record from the Alexandria database describes a relaxed La8In2Sn crystal. The functional is PBE.

The value obtained for the volume is 33.36 A^3/atom.

```
data_La8In2Sn
_cell_length_a 17.885
_cell_length_b 5.475
_cell_length_c 8.522
_cell_angle_alpha 90.00
_cell_angle_beta 118.41
_cell_angle_gamma 90.00
_space_group_name_H-M_alt 'C 1 2/m 1'
_space_group_IT_number 12
_space_group_name_Hall '-C 2y'
loop_
_atom_site_label
_atom_site_fract_x
_atom_site_fract_y
_atom_site_fract_z
_atom_site_occupancy
La1 0.000 0.000 0.203 1
La2 0.132 0.000 0.631 1
La3 0.154 0.500 0.376 1
La4 0.155 0.500 0.932 1
In1 0.192 0.000 0.193 1
Sn1 0.000 0.500 0.500 1
```

***

Run b
This record from the Alexandria database describes a relaxed La8In2Sn crystal. The functional is PBE.

The value obtained for the volume is 33.96 A^3/atom.

```
data_La8In2Sn
_cell_length_a 9.105
_cell_length_b 15.361
_cell_length_c 5.911
_cell_angle_alpha 90.00
_cell_angle_beta 115.35
_cell_angle_gamma 90.00
_space_group_name_H-M_alt 'C 1 2/m 1'
_space_group_IT_number 12
_space_group_name_Hall '-C 2y'
loop_
_atom_site_label
_atom_site_fract_x
_atom_site_fract_y
_atom_site_fract_z
_atom_site_occupancy
La1 0.000 0.221 0.000 1
La2 0.098 0.500 0.801 1
La3 0.192 0.108 0.580 1
In1 0.000 0.306 0.500 1
Sn1 0.000 0.000 0.000 1
```

***

Stability summary: most stable run a, least stable run b.